(1)
Here is a relaxed structure of Sm6As2PtSe3 from the Alexandria database. Energies are from PBE.

Structure (POSCAR):
```
Sm6As2PtSe3
1.0
-1.406 -0.706 3.856
3.567 -7.656 -0.102
7.316 5.746 1.470
Sm As Pt Se
6 2 1 3
Direct
0.335 0.911 0.670 Sm
0.669 0.578 0.338 Sm
0.665 0.089 0.330 Sm
0.002 0.240 0.003 Sm
0.998 0.760 0.997 Sm
0.331 0.422 0.662 Sm
0.833 0.666 0.667 As
0.167 0.334 0.333 As
0.500 0.000 0.000 Pt
0.500 0.500 0.000 Se
0.832 0.167 0.663 Se
0.168 0.833 0.337 Se
```

## Properties
size of the total moment: 0.0 μB per cell
crystal system: monoclinic
formation energy without anion corrections: -1.6317 eV/atom

---

(2)
Here is a relaxed structure of SnAsPtSe2 from the Alexandria database. Energies are from PBE.

Structure (POSCAR):
```
SnAsPtSe2
1.0
5.290 0.000 0.000
0.000 5.290 0.000
0.000 0.000 4.598
As Se Sn Pt
1 2 1 1
Direct
0.000 0.000 0.500 As
0.000 0.500 0.000 Se
0.500 0.000 0.000 Se
0.500 0.500 0.500 Sn
0.000 0.000 0.000 Pt
```

## Properties
relative energy among the computed polymorphs: 0.0 meV per atom
size of the total moment: 0.0 μB per cell
crystal system: tetragonal
formation energy without anion corrections: 0.2295 eV/atom

---

(3)
Here is a relaxed structure of SnAsPtSe2 from the Alexandria database. Energies are from PBE.

Structure (POSCAR):
```
SnAsPtSe2
1.0
4.891 0.000 0.000
0.000 5.410 0.000
0.000 0.000 4.891
As Se Sn Pt
1 2 1 1
Direct
0.500 0.500 0.500 As
0.000 0.000 0.500 Se
0.500 0.000 0.000 Se
0.000 0.500 0.000 Sn
0.000 0.000 0.000 Pt
```

## Properties
relative energy among the computed polymorphs: 238.7 meV per atom
size of the total moment: 0.0 μB per cell
crystal system: tetragonal
formation energy without anion corrections: 0.4681 eV/atom

---

(4)
Here is a relaxed structure of SnAs2PtSe from the Alexandria database. Energies are from PBE.

Structure (POSCAR):
```
SnAs2PtSe
1.0
4.842 0.000 0.000
0.000 4.842 0.000
0.000 0.000 5.349
As Se Sn Pt
2 1 1 1
Direct
0.000 0.500 0.000 As
0.500 0.000 0.000 As
0.000 0.000 0.500 Se
0.500 0.500 0.500 Sn
0.000 0.000 0.000 Pt
```

## Properties
relative energy among the computed polymorphs: 0.0 meV per atom
size of the total moment: 0.0 μB per cell
crystal system: tetragonal
formation energy without anion corrections: 0.3457 eV/atom

---

Number 2 is which compound? SnAsPtSe2

---

What is the size of the total moment in the fourth record? 0.0 μB per cell

---

Which value of formation energy without anion corrections does entry 1 give? -1.6317 eV/atom